Record 1
Computed, not measured: a relaxed structure of Zn2Sn3O8 at the GGA-PBEsol level of DFT.

```
Zn2Sn3O8
1.0
4.934 -3.069 0.000
4.934 3.069 0.000
-0.940 0.000 5.333
Zn Sn O
2 3 8
direct
0.198 0.198 0.073
0.802 0.802 0.927
0.244 0.756 0.500
0.500 0.500 0.000
0.756 0.244 0.500
0.108 0.108 0.369
0.146 0.603 0.139
0.394 0.394 0.638
0.397 0.854 0.861
0.603 0.146 0.139
0.606 0.606 0.362
0.854 0.397 0.861
0.892 0.892 0.631
```

Calculated values
The calculation puts the energy relative to the elements, uncorrected at -1.5236 eV per atom. The calculation puts the polymorph energy (0 for the lowest one) at 0.26 eV/f.u.

---

Record 2
Computed, not measured: a relaxed structure of Zr5Sn3O at the GGA-PBEsol level of DFT.

```
Zr5Sn3O
1.0
8.372 0.000 0.000
-4.186 7.250 0.000
0.000 0.000 5.704
Zr Sn O
10 6 2
direct
0.000 0.228 0.250
0.000 0.772 0.750
0.228 0.000 0.250
0.228 0.228 0.750
0.333 0.667 0.000
0.333 0.667 0.500
0.667 0.333 0.000
0.667 0.333 0.500
0.772 0.000 0.750
0.772 0.772 0.250
0.000 0.403 0.750
0.000 0.597 0.250
0.403 0.000 0.750
0.403 0.403 0.250
0.597 0.000 0.250
0.597 0.597 0.750
0.000 0.000 0.000
0.000 0.000 0.500
```

Calculated values
The calculation puts the energy relative to the elements, uncorrected at -1.1297 eV per atom.

---

Record 3
Computed, not measured: a relaxed structure of SrO2 at the GGA-PBEsol level of DFT.

```
SrO2
1.0
8.240 0.000 0.000
0.000 4.902 0.000
0.000 0.000 4.569
Sr O
4 8
direct
0.145 0.250 0.098
0.355 0.750 0.598
0.645 0.250 0.402
0.855 0.750 0.902
0.093 0.750 0.279
0.156 0.750 0.974
0.344 0.250 0.474
0.407 0.250 0.779
0.593 0.750 0.221
0.656 0.750 0.526
0.844 0.250 0.026
0.907 0.250 0.721
```

Calculated values
The calculation puts the energy relative to the elements, uncorrected at -1.8915 eV per atom.